Th4SiTe2P after structural relaxation, computed with PBE.

The structure in CIF format:
```
data_Th4SiTe2P
_chemical_formula_sum 'Th4 Si1 Te2 P1'
_cell_length_a 4.264
_cell_length_b 7.363
_cell_length_c 7.801
_cell_angle_alpha 108.48
_cell_angle_beta 90.00
_cell_angle_gamma 90.00
_space_group_name_H-M_alt 'P 1'
_space_group_IT_number 1
_space_group_name_Hall 'P 1'
loop_
_atom_site_label
_atom_site_fract_x
_atom_site_fract_y
_atom_site_fract_z
_atom_site_occupancy
Th1 0.500 0.759 0.790 1
Th2 0.000 0.268 0.792 1
Th3 0.000 0.732 0.208 1
Th4 0.500 0.241 0.210 1
Te1 0.500 0.000 0.500 1
Te2 0.000 0.500 0.500 1
P1 0.500 0.500 0.000 1
Si1 0.000 0.000 0.000 1
```

Size of the total moment ... 0.000 μB per cell
ΔE_f (raw) ... -1.171 eV per atom
Crystal system ... monoclinic
Density ... 8.9 g/cm³